1.
# DyMg5Ag2 GGA-PBE relaxed
# Total energy ... -2.442 eV/atom
# Fermi-level density of states ... 0.50 states/eV per atom
# ΔH_f (0 K) ... -0.157 eV/atom
data_DyMg5Ag2
_chemical_formula_sum 'Dy2 Mg10 Ag4'
_cell_length_a 3.4867
_cell_length_b 9.0255
_cell_length_c 11.2720
_cell_angle_alpha 90.00
_cell_angle_beta 90.00
_cell_angle_gamma 90.00
_space_group_name_H-M_alt 'I m m m'
_space_group_IT_number 71
_space_group_name_Hall '-I 2 2'
loop_
_atom_site_label
_atom_site_type_symbol
_atom_site_fract_x
_atom_site_fract_y
_atom_site_fract_z
Dy1 Dy 0.0000 0.0000 0.0000
Mg1 Mg 0.0000 0.2116 0.3591
Mg2 Mg 0.0000 0.5000 0.0000
Ag1 Ag 0.0000 0.5000 0.2641

---

2.
# Y3Al3Ru2 GGA-PBE relaxed
# Total energy ... -6.692 eV/atom
# Fermi-level density of states ... 0.73 states/eV per atom
# ΔH_f (0 K) ... -0.545 eV/atom
data_Y3Al3Ru2
_chemical_formula_sum 'Y12 Al12 Ru8'
_cell_length_a 7.5921
_cell_length_b 15.3024
_cell_length_c 5.8143
_cell_angle_alpha 90.00
_cell_angle_beta 90.00
_cell_angle_gamma 90.00
_space_group_name_H-M_alt 'P n m a'
_space_group_IT_number 62
loop_
_space_group_symop_operation_xyz
'x,y,z'
'-x,-y,-z'
'-x+1/2,-y,z+1/2'
'x+1/2,y,-z+1/2'
'x+1/2,-y+1/2,-z+1/2'
'-x+1/2,y+1/2,z+1/2'
'-x,y+1/2,-z'
'x,-y+1/2,z'
loop_
_atom_site_label
_atom_site_type_symbol
_atom_site_fract_x
_atom_site_fract_y
_atom_site_fract_z
Y1 Y 0.0345 0.1081 0.1054
Y2 Y 0.1716 0.2500 0.6305
Al1 Al 0.1603 0.0342 0.5928
Al2 Al 0.1734 0.7500 0.6170
Ru1 Ru 0.1352 0.6072 0.3689

---

3.
# Nd3Y6Tm2Mg GGA-PBE relaxed
# Total energy ... -5.267 eV/atom
# Fermi-level density of states ... 1.50 states/eV per atom
# ΔH_f (0 K) ... 0.035 eV/atom
data_Nd3Y6Tm2Mg
_chemical_formula_sum 'Nd6 Y12 Tm4 Mg2'
_cell_length_a 6.1999
_cell_length_b 10.7447
_cell_length_c 11.7333
_cell_angle_alpha 90.00
_cell_angle_beta 100.22
_cell_angle_gamma 90.00
_space_group_name_H-M_alt 'C 1 2/m 1'
_space_group_IT_number 12
loop_
_space_group_symop_operation_xyz
'x,y,z'
'-x,-y,-z'
'-x,y,-z'
'x,-y,z'
'x+1/2,y+1/2,z'
'-x+1/2,-y+1/2,-z'
'-x+1/2,y+1/2,-z'
'x+1/2,-y+1/2,z'
loop_
_atom_site_label
_atom_site_type_symbol
_atom_site_fract_x
_atom_site_fract_y
_atom_site_fract_z
Nd1 Nd 0.0000 0.0000 0.0000
Nd2 Nd 0.0000 0.3346 0.0000
Y1 Y 0.2464 0.3339 0.7434
Y2 Y 0.2478 0.0000 0.7439
Tm1 Tm 0.0000 0.1664 0.5000
Mg1 Mg 0.0000 0.5000 0.5000

---

4.
# K2Rb4Ba2Ca GGA-PBE relaxed
# Total energy ... -1.248 eV/atom
# Fermi-level density of states ... 1.23 states/eV per atom
# ΔH_f (0 K) ... 0.075 eV/atom
data_K2Rb4Ba2Ca
_chemical_formula_sum 'K2 Rb4 Ba2 Ca1'
_cell_length_a 4.5965
_cell_length_b 4.5965
_cell_length_c 35.8331
_cell_angle_alpha 90.00
_cell_angle_beta 90.00
_cell_angle_gamma 120.00
_space_group_name_H-M_alt 'P 3 m 1'
_space_group_IT_number 156
loop_
_space_group_symop_operation_xyz
'x,y,z'
'-y,x-y,z'
'-x+y,-x,z'
'-y,-x,z'
'-x+y,y,z'
'x,x-y,z'
loop_
_atom_site_label
_atom_site_type_symbol
_atom_site_fract_x
_atom_site_fract_y
_atom_site_fract_z
K1 K 0.0000 0.0000 0.0000
K2 K 0.3333 0.6667 0.3484
Rb1 Rb 0.0000 0.0000 0.2336
Rb2 Rb 0.0000 0.0000 0.4638
Rb3 Rb 0.3333 0.6667 0.1141
Rb4 Rb 0.3333 0.6667 0.8853
Ba1 Ba 0.0000 0.0000 0.5887
Ba2 Ba 0.0000 0.0000 0.7720
Ca1 Ca 0.3333 0.6667 0.6802